This record from OQMD describes crystalline NdLu2Pb7 at its relaxed geometry. The functional is PBE.

Summary:
electronic total energy = -85.41 eV/cell

The structure in CIF format:
```
data_NdLu2Pb7
_cell_length_a 4.5707
_cell_length_b 26.8393
_cell_length_c 4.6356
_cell_angle_alpha 90.00
_cell_angle_beta 90.00
_cell_angle_gamma 90.00
_space_group_name_H-M_alt 'C m m m'
_space_group_IT_number 65
_space_group_name_Hall '-C 2 2'
loop_
_atom_site_label
_atom_site_type_symbol
_atom_site_fract_x
_atom_site_fract_y
_atom_site_fract_z
Nd1 Nd 0.0000 0.0000 0.0000
Lu1 Lu 0.0000 0.3055 0.5000
Pb1 Pb 0.0000 0.1003 0.5000
Pb2 Pb 0.0000 0.2079 0.0000
Pb3 Pb 0.0000 0.3990 0.0000
Pb4 Pb 0.0000 0.5000 0.5000
```


This record from OQMD describes crystalline ZrBeSb at its relaxed geometry. The functional is PBE.

Summary:
polymorph energy (0 for the lowest one) = 0.0 meV per atom
electronic total energy = -64.15 eV/cell

The structure in CIF format:
```
data_ZrBeSb
_cell_length_a 6.1170
_cell_length_b 6.1170
_cell_length_c 6.1170
_cell_angle_alpha 90.00
_cell_angle_beta 90.00
_cell_angle_gamma 90.00
_space_group_name_H-M_alt 'F -4 3 m'
_space_group_IT_number 216
_space_group_name_Hall 'F -4 2 3'
loop_
_atom_site_label
_atom_site_type_symbol
_atom_site_fract_x
_atom_site_fract_y
_atom_site_fract_z
Zr1 Zr 0.0000 0.0000 0.0000
Be1 Be 0.2500 0.2500 0.7500
Sb1 Sb 0.0000 0.0000 0.5000
```


This record from OQMD describes crystalline CsNiAs at its relaxed geometry. The functional is PBE.

Summary:
electronic total energy = -33.53 eV/cell

The structure in CIF format:
```
data_CsNiAs
_cell_length_a 7.2624
_cell_length_b 7.2624
_cell_length_c 7.2624
_cell_angle_alpha 90.00
_cell_angle_beta 90.00
_cell_angle_gamma 90.00
_space_group_name_H-M_alt 'F -4 3 m'
_space_group_IT_number 216
_space_group_name_Hall 'F -4 2 3'
loop_
_atom_site_label
_atom_site_type_symbol
_atom_site_fract_x
_atom_site_fract_y
_atom_site_fract_z
Cs1 Cs 0.0000 0.0000 0.0000
Ni1 Ni 0.0000 0.0000 0.5000
As1 As 0.2500 0.2500 0.2500
```


This record from OQMD describes crystalline HgTePd2 at its relaxed geometry. The functional is PBE.

Summary:
electronic total energy = -53.92 eV/cell

The structure in CIF format:
```
data_HgTePd2
_cell_length_a 6.7906
_cell_length_b 6.7906
_cell_length_c 6.7906
_cell_angle_alpha 90.00
_cell_angle_beta 90.00
_cell_angle_gamma 90.00
_space_group_name_H-M_alt 'F -4 3 m'
_space_group_IT_number 216
_space_group_name_Hall 'F -4 2 3'
loop_
_atom_site_label
_atom_site_type_symbol
_atom_site_fract_x
_atom_site_fract_y
_atom_site_fract_z
Hg1 Hg 0.0000 0.0000 0.0000
Te1 Te 0.2500 0.2500 0.7500
Pd1 Pd 0.0000 0.0000 0.5000
Pd2 Pd 0.2500 0.2500 0.2500
```


This record from OQMD describes crystalline KHfW at its relaxed geometry. The functional is PBE.

Summary:
polymorph energy (0 for the lowest one) = 810.4 meV per atom
electronic total energy = -60.64 eV/cell

The structure in CIF format:
```
data_KHfW
_cell_length_a 6.7508
_cell_length_b 6.7508
_cell_length_c 6.7508
_cell_angle_alpha 90.00
_cell_angle_beta 90.00
_cell_angle_gamma 90.00
_space_group_name_H-M_alt 'F -4 3 m'
_space_group_IT_number 216
_space_group_name_Hall 'F -4 2 3'
loop_
_atom_site_label
_atom_site_type_symbol
_atom_site_fract_x
_atom_site_fract_y
_atom_site_fract_z
K1 K 0.0000 0.0000 0.0000
Hf1 Hf 0.2500 0.2500 0.7500
W1 W 0.2500 0.2500 0.2500
```


This record from OQMD describes crystalline NbBNO at its relaxed geometry. The functional is PBE.

Summary:
polymorph energy (0 for the lowest one) = 77.2 meV per atom
electronic total energy = -138.36 eV/cell

The structure in CIF format:
```
data_NbBNO
_cell_length_a 7.0313
_cell_length_b 4.3921
_cell_length_c 4.8659
_cell_angle_alpha 90.00
_cell_angle_beta 90.00
_cell_angle_gamma 90.00
_space_group_name_H-M_alt 'P b c m'
_space_group_IT_number 57
loop_
_space_group_symop_operation_xyz
'x,y,z'
'-x,-y,-z'
'-x,-y,z+1/2'
'x,y,-z+1/2'
'x,-y+1/2,-z'
'-x,y+1/2,z'
'-x,y+1/2,-z+1/2'
'x,-y+1/2,z+1/2'
loop_
_atom_site_label
_atom_site_type_symbol
_atom_site_fract_x
_atom_site_fract_y
_atom_site_fract_z
Nb1 Nb 0.1195 0.0240 0.2500
B1 B 0.3964 0.0525 0.7500
N1 N 0.2031 0.5272 0.2500
O1 O 0.4393 0.1289 0.2500
```


This record from OQMD describes crystalline PmIr at its relaxed geometry. The functional is PBE.

Summary:
DFT formation energy = -0.091 eV per atom
electronic total energy = -13.78 eV/cell

The structure in CIF format:
```
data_PmIr
_cell_length_a 3.5609
_cell_length_b 3.5609
_cell_length_c 4.1430
_cell_angle_alpha 90.00
_cell_angle_beta 90.00
_cell_angle_gamma 120.00
_space_group_name_H-M_alt 'P -6 m 2'
_space_group_IT_number 187
_space_group_name_Hall 'P -6 2'
loop_
_atom_site_label
_atom_site_type_symbol
_atom_site_fract_x
_atom_site_fract_y
_atom_site_fract_z
Pm1 Pm 0.0000 0.0000 0.0000
Ir1 Ir 0.3333 0.6667 0.5000
```


This record from OQMD describes crystalline PaSi2Pt2 at its relaxed geometry. The functional is PBE.

Summary:
electronic total energy = -74.44 eV/cell

The structure in CIF format:
```
data_PaSi2Pt2
_cell_length_a 4.2637
_cell_length_b 4.2637
_cell_length_c 9.6407
_cell_angle_alpha 90.00
_cell_angle_beta 90.00
_cell_angle_gamma 90.00
_space_group_name_H-M_alt 'P 4/n m m'
_space_group_IT_number 129
loop_
_space_group_symop_operation_xyz
'x,y,z'
'-x,-y,-z'
'-y+1/2,x,z'
'y+1/2,-x,-z'
'-x+1/2,-y+1/2,z'
'x+1/2,y+1/2,-z'
'y,-x+1/2,z'
'-y,x+1/2,-z'
'x+1/2,-y,-z'
'-x+1/2,y,z'
'-y,-x,-z'
'y,x,z'
'-x,y+1/2,-z'
'x,-y+1/2,z'
'y+1/2,x+1/2,-z'
'-y+1/2,-x+1/2,z'
loop_
_atom_site_label
_atom_site_type_symbol
_atom_site_fract_x
_atom_site_fract_y
_atom_site_fract_z
Pa1 Pa 0.2500 0.2500 0.2493
Si1 Si 0.2500 0.2500 0.6319
Si2 Si 0.2500 0.7500 0.0000
Pt1 Pt 0.2500 0.2500 0.8797
Pt2 Pt 0.2500 0.7500 0.5000
```